A plane-wave DFT calculation with PBE was carried out for an optimized crystal structure of BeCoAg3.

Structure (POSCAR):
```
BeCoAg3
1.0
4.759 0.000 0.000
0.000 4.759 0.000
0.000 0.000 4.759
Ag Co Be
3 1 1
Direct
0.000 0.000 0.500 Ag
0.000 0.500 0.000 Ag
0.500 0.000 0.000 Ag
0.000 0.000 0.000 Co
0.500 0.500 0.500 Be
```

energy above the lowest structure with this stoichiometry: 0.596 eV/atom
space-group type: Pm-3m, No. 221

=====

A plane-wave DFT calculation with PBE was carried out for an optimized crystal structure of LiZnRu2.

Structure (POSCAR):
```
LiZnRu2
1.0
2.587 0.000 0.000
0.000 2.587 0.000
0.000 0.000 8.428
Li Ru Zn
1 2 1
Direct
0.500 0.500 0.750 Li
0.000 0.000 0.006 Ru
0.000 0.000 0.494 Ru
0.500 0.500 0.250 Zn
```

space-group type: P4/mmm, No. 123

=====

Number 1: formation energy from the elements 1328 meV per atom, density of states at the Fermi level 6.819 states/eV/f.u., mass density 6.03 g/cm3. Number 2: formation energy from the elements 289 meV per atom, density of states at the Fermi level 5.278 states/eV/f.u., mass density 8.08 g/cm3.